First-principles (PBEsol) data for a relaxed structure of SrCuSb2, as listed in the Alexandria database.

Cell lengths 4.6250, 4.6250, 6.1913 Å; angles 68.07, 68.07, 60.00 degrees
Fractional coordinates of all 4 atoms:
Cu1 0.5000 0.5000 0.5000
Sb1 0.7865 0.7865 0.6404
Sb2 0.2135 0.2135 0.3596
Sr1 0.0000 0.0000 0.0000

Calculated values
The energy relative to the elements, uncorrected comes out at -0.27 eV/atom. For the total magnetization, the calculation gives 0.00 μB/atom.